A relaxed ScSiAs crystal. Source: Alexandria, functional PBEsol.

## Properties
Space-group type   P3m1, No. 156
Formation energy without anion corrections   -0.212 eV per atom

The structure in extended XYZ format:
```
3
Lattice="3.481 0.000 0.000 -1.741 3.015 0.000 0.000 0.000 5.451" Properties=species:S:1:pos:R:3 pbc="T T T"
Sc 0.000 0.000 0.000
Si 1.741 1.005 3.398
As 0.000 2.010 1.935
```